No. 1
Computed, not measured: a relaxed structure of NaLi2GaF6 at the GGA-PBE level of DFT.

Results
Theoretical density = 2.75 g cm⁻³
Total energy = -45.2 eV per cell

```
data_NaLi2GaF6
_symmetry_space_group_name_H-M 'P 1'
_symmetry_Int_Tables_number 1
_cell_length_a 5.7300
_cell_length_b 5.7300
_cell_length_c 5.7300
_cell_angle_alpha 60.00
_cell_angle_beta 60.00
_cell_angle_gamma 60.00
loop_
_symmetry_equiv_pos_as_xyz
'x,y,z'
loop_
_atom_site_label
_atom_site_type_symbol
_atom_site_fract_x
_atom_site_fract_y
_atom_site_fract_z
F1 F 0.2345 0.7655 0.7655
F2 F 0.7655 0.7655 0.2345
F3 F 0.7655 0.2345 0.7655
F4 F 0.7655 0.2345 0.2345
F5 F 0.2345 0.7655 0.2345
F6 F 0.2345 0.2345 0.7655
Na1 Na 0.5000 0.5000 0.5000
Li1 Li 0.2500 0.2500 0.2500
Li2 Li 0.7500 0.7500 0.7500
Ga1 Ga 0.0000 0.0000 0.0000
```

No. 2
Computed, not measured: a relaxed structure of NaLi2GaF6 at the GGA-PBE level of DFT.

Results
Theoretical density = 3.23 g cm⁻³
Total energy = -47.6 eV per cell

```
data_NaLi2GaF6
_symmetry_space_group_name_H-M 'P 1'
_symmetry_Int_Tables_number 1
_cell_length_a 5.2314
_cell_length_b 5.2311
_cell_length_c 5.6557
_cell_angle_alpha 62.43
_cell_angle_beta 62.44
_cell_angle_gamma 60.00
loop_
_symmetry_equiv_pos_as_xyz
'x,y,z'
loop_
_atom_site_label
_atom_site_type_symbol
_atom_site_fract_x
_atom_site_fract_y
_atom_site_fract_z
F1 F 0.9410 0.5701 0.2404
F2 F 0.3757 0.7098 0.7772
F3 F 0.2485 0.9410 0.2403
F4 F 0.5703 0.2485 0.2402
F5 F 0.7097 0.1375 0.7771
F6 F 0.1378 0.3758 0.7769
Ga1 Ga 0.3222 0.3222 0.0336
Li1 Li 0.0197 0.0198 0.9408
Li2 Li 0.5267 0.5267 0.4193
Na1 Na 0.8102 0.8102 0.5694
```

No. 3
Computed, not measured: a relaxed structure of Li2NdGaF8 at the GGA-PBE level of DFT.

Results
Theoretical density = 4.12 g cm⁻³
Total energy = -64.5 eV per cell

```
data_Li2NdGaF8
_symmetry_space_group_name_H-M 'P 1'
_symmetry_Int_Tables_number 1
_cell_length_a 4.5255
_cell_length_b 4.8731
_cell_length_c 6.9718
_cell_angle_alpha 85.55
_cell_angle_beta 89.37
_cell_angle_gamma 87.57
loop_
_symmetry_equiv_pos_as_xyz
'x,y,z'
loop_
_atom_site_label
_atom_site_type_symbol
_atom_site_fract_x
_atom_site_fract_y
_atom_site_fract_z
F1 F 0.3774 0.2788 0.4527
F2 F 0.1757 0.7813 0.2233
F3 F 0.1816 0.7963 0.7972
F4 F 0.3002 0.2605 0.9915
F5 F 0.6998 0.7395 0.0085
F6 F 0.6226 0.7212 0.5473
F7 F 0.8184 0.2037 0.2028
F8 F 0.8243 0.2187 0.7767
Nd1 Nd 0.0000 0.0000 0.5000
Li1 Li 0.5283 0.5295 0.7986
Li2 Li 0.4717 0.4705 0.2014
Ga1 Ga 0.0000 0.0000 0.0000
```

no.,formation energy without anion corrections (eV per atom)
1,-2.58
2,-2.82
3,-3.16